(1)
Density functional theory data (GGA-PBE) for TiNiWAu2 after structural relaxation.

Unit cell a=5.0007 b=5.0007 c=4.4591 alpha=90.00 beta=90.00 gamma=90.00
Fractional positions:
Ti  0.0000  0.0000  0.0000
Ni  0.5000  0.5000  0.0000
W  0.5000  0.5000  0.5000
Au  0.0000  0.5000  0.5000
Au  0.5000  0.0000  0.5000

Output
Space-group type = P4/mmm (123)
V = 22.3 Å³ per atom
E_tot = -5.34 eV per atom

(2)
Density functional theory data (GGA-PBE) for TiNi2WAu after structural relaxation.

Unit cell a=4.4534 b=4.4534 c=5.0022 alpha=90.00 beta=90.00 gamma=90.00
Fractional positions:
Ti  0.0000  0.0000  0.0000
Ni  0.0000  0.5000  0.5000
Ni  0.5000  0.0000  0.5000
W  0.5000  0.5000  0.5000
Au  0.5000  0.5000  0.0000

Output
Space-group type = P4/mmm (123)
V = 19.8 Å³ per atom
E_tot = -5.88 eV per atom

(3)
Density functional theory data (GGA-PBE) for ZrTi2NiAu after structural relaxation.

Unit cell a=4.7346 b=4.7346 c=5.1124 alpha=90.00 beta=90.00 gamma=90.00
Fractional positions:
Zr  0.0000  0.0000  0.0000
Ti  0.0000  0.5000  0.0000
Ti  0.5000  0.0000  0.0000
Ni  0.5000  0.5000  0.5000
Au  0.0000  0.0000  0.5000

Output
Space-group type = P4/mmm (123)
V = 22.9 Å³ per atom
Polymorph energy (0 for the lowest one) = 308 meV per atom

(4)
Density functional theory data (GGA-PBE) for Zr2TiNiAu after structural relaxation.

Unit cell a=4.9805 b=4.9805 c=4.2088 alpha=90.00 beta=90.00 gamma=90.00
Fractional positions:
Zr  0.0000  0.5000  0.0000
Zr  0.5000  0.0000  0.0000
Ti  0.0000  0.0000  0.0000
Ni  0.0000  0.0000  0.5000
Au  0.5000  0.5000  0.5000

Output
Space-group type = P4/mmm (123)
V = 20.9 Å³ per atom
E_tot = -6.20 eV per atom

(5)
Density functional theory data (GGA-PBE) for ZrTi2NiAu after structural relaxation.

Unit cell a=4.8562 b=4.8562 c=4.4673 alpha=90.00 beta=90.00 gamma=90.00
Fractional positions:
Zr  0.0000  0.0000  0.0000
Ti  0.0000  0.5000  0.0000
Ti  0.5000  0.0000  0.0000
Ni  0.0000  0.0000  0.5000
Au  0.5000  0.5000  0.5000

Output
Space-group type = P4/mmm (123)
V = 21.1 Å³ per atom
Polymorph energy (0 for the lowest one) = 0 meV per atom

(6)
Density functional theory data (GGA-PBE) for TlNi2Au after structural relaxation.

Unit cell a=8.2024 b=8.2024 c=8.2024 alpha=21.65 beta=21.65 gamma=21.65
Fractional positions:
Tl  0.0000  0.0000  0.0000
Ni  0.2490  0.2490  0.2490
Ni  0.7510  0.7510  0.7510
Au  0.5000  0.5000  0.5000

Output
Space-group type = R-3m (166)
V = 16.4 Å³ per atom
E_tot = -3.93 eV per atom

(7)
Density functional theory data (GGA-PBE) for TlNi2Au after structural relaxation.

Unit cell a=3.1039 b=3.1039 c=6.7311 alpha=90.00 beta=90.00 gamma=90.00
Fractional positions:
Tl  0.0000  0.0000  0.0000
Ni  0.0000  0.0000  0.5677
Ni  0.5000  0.5000  0.7355
Au  0.5000  0.5000  0.3351

Output
Space-group type = P4mm (99)
V = 16.2 Å³ per atom
E_tot = -4.07 eV per atom

(8)
Density functional theory data (GGA-PBE) for Tl2NiAu after structural relaxation.

Unit cell a=7.9792 b=7.9792 c=7.9792 alpha=26.12 beta=26.12 gamma=26.12
Fractional positions:
Tl  0.2416  0.2416  0.2416
Tl  0.7584  0.7584  0.7584
Ni  0.5000  0.5000  0.5000
Au  0.0000  0.0000  0.0000

Output
Space-group type = R-3m (166)
V = 21.7 Å³ per atom
Polymorph energy (0 for the lowest one) = 139 meV per atom

(9)
Density functional theory data (GGA-PBE) for TlNiAu after structural relaxation.

Unit cell a=4.2626 b=4.2626 c=3.6047 alpha=90.00 beta=90.00 gamma=120.00
Fractional positions:
Tl  0.0000  0.0000  0.0000
Ni  0.3333  0.6667  0.6832
Au  0.6667  0.3333  0.4295

Output
Space-group type = P3m1 (156)
V = 18.9 Å³ per atom
Polymorph energy (0 for the lowest one) = 99 meV per atom

(10)
Density functional theory data (GGA-PBE) for Tl2NiAu after structural relaxation.

Unit cell a=4.9242 b=4.9242 c=4.9242 alpha=60.00 beta=60.00 gamma=60.00
Fractional positions:
Tl  0.0000  0.0000  0.0000
Tl  0.2500  0.2500  0.2500
Ni  0.5000  0.5000  0.5000
Au  0.7500  0.7500  0.7500

Output
Space-group type = F-43m (216)
V = 21.1 Å³ per atom
Polymorph energy (0 for the lowest one) = 246 meV per atom

(11)
Density functional theory data (GGA-PBE) for Tl2NiAu after structural relaxation.

Unit cell a=3.2950 b=3.2950 c=7.4629 alpha=90.00 beta=90.00 gamma=91.07
Fractional positions:
Tl  0.0000  0.0000  0.2225
Tl  0.0000  0.0000  0.7775
Ni  0.5000  0.5000  0.0000
Au  0.5000  0.5000  0.5000

Output
Space-group type = Cmmm (65)
V = 20.3 Å³ per atom
Polymorph energy (0 for the lowest one) = 137 meV per atom

(12)
Density functional theory data (GGA-PBE) for TlNi2Au after structural relaxation.

Unit cell a=4.1574 b=4.1574 c=3.5904 alpha=90.00 beta=90.00 gamma=90.00
Fractional positions:
Tl  0.0000  0.0000  0.0000
Ni  0.0000  0.5000  0.5000
Ni  0.5000  0.0000  0.5000
Au  0.5000  0.5000  0.0000

Output
Space-group type = P4/mmm (123)
V = 15.5 Å³ per atom
E_tot = -4.14 eV per atom

Q: What is the V in the second record?
A: 19.8 Å³ per atom